(1)
# Li2SbPd2 (PBE-GGA, optimized geometry)
# Formation energy from raw total energies   -38 kJ/mol of atoms
# Energy relative to the lowest polymorph listed for this composition   0.87 eV/f.u.
# ρ   7.5 g cm⁻³
# Crystal system   tetragonal
# DOS(E_F)   0.529 states/eV/atom
data_Li2SbPd2
_symmetry_space_group_name_H-M 'P 1'
_symmetry_Int_Tables_number 1
_cell_length_a 6.909
_cell_length_b 6.909
_cell_length_c 3.222
_cell_angle_alpha 90.00
_cell_angle_beta 90.00
_cell_angle_gamma 90.00
loop_
_symmetry_equiv_pos_as_xyz
'x,y,z'
loop_
_atom_site_label
_atom_site_type_symbol
_atom_site_fract_x
_atom_site_fract_y
_atom_site_fract_z
Pd1 Pd 0.178 0.678 0.500
Pd2 Pd 0.322 0.178 0.500
Pd3 Pd 0.822 0.322 0.500
Pd4 Pd 0.678 0.822 0.500
Sb1 Sb 0.000 0.000 0.000
Sb2 Sb 0.500 0.500 0.000
Li1 Li 0.878 0.622 0.000
Li2 Li 0.622 0.122 0.000
Li3 Li 0.378 0.878 0.000
Li4 Li 0.122 0.378 0.000

=====

(2)
# Li2SbPd (PBE-GGA, optimized geometry)
# Formation energy from raw total energies   -52 kJ/mol of atoms
# ρ   6.0 g cm⁻³
# Crystal system   tetragonal
# DOS(E_F)   0.591 states/eV/atom
data_Li2SbPd
_symmetry_space_group_name_H-M 'P 1'
_symmetry_Int_Tables_number 1
_cell_length_a 4.141
_cell_length_b 4.013
_cell_length_c 4.013
_cell_angle_alpha 90.00
_cell_angle_beta 90.00
_cell_angle_gamma 90.00
loop_
_symmetry_equiv_pos_as_xyz
'x,y,z'
loop_
_atom_site_label
_atom_site_type_symbol
_atom_site_fract_x
_atom_site_fract_y
_atom_site_fract_z
Pd1 Pd 0.500 0.000 0.000
Li1 Li 0.000 0.000 0.500
Li2 Li 0.000 0.500 0.000
Sb1 Sb 0.500 0.500 0.500

=====

(3)
# Li2Sb2Pd3 (PBE-GGA, optimized geometry)
# Formation energy from raw total energies   -48 kJ/mol of atoms
# Energy relative to the lowest polymorph listed for this composition   0.36 eV/f.u.
# ρ   7.8 g cm⁻³
# Crystal system   monoclinic
# DOS(E_F)   0.350 states/eV/atom
data_Li2Sb2Pd3
_symmetry_space_group_name_H-M 'P 1'
_symmetry_Int_Tables_number 1
_cell_length_a 4.046
_cell_length_b 5.221
_cell_length_c 6.466
_cell_angle_alpha 100.88
_cell_angle_beta 90.00
_cell_angle_gamma 112.79
loop_
_symmetry_equiv_pos_as_xyz
'x,y,z'
loop_
_atom_site_label
_atom_site_type_symbol
_atom_site_fract_x
_atom_site_fract_y
_atom_site_fract_z
Sb1 Sb 0.185 0.370 0.185
Sb2 Sb 0.815 0.630 0.815
Pd1 Pd 0.635 0.269 0.437
Pd2 Pd 0.500 0.000 0.000
Pd3 Pd 0.365 0.731 0.563
Li1 Li 0.086 0.172 0.706
Li2 Li 0.914 0.828 0.294

=====

Computed V, in the same sequence as the records: 15.38; 16.67; 17.61 Å³/atom.
Computed energy, in the same sequence as the records: -20.309; -15.305; -31.165 eV/f.u..